Material: Al2NiPd
Method: DFT, PBE-GGA
State: optimized geometry

Lattice parameters (Å, degrees): 4.2681 4.2681 4.2681 60.00 60.00 60.00
Closest atoms and distances in Å follow each position.
Element x y z (fractional)
Ni 0.7500 0.7500 0.7500  4 Al 2.61, 4 Pd 2.61
Pd 0.5000 0.5000 0.5000  4 Al 2.61, 4 Ni 2.61
Al 0.0000 0.0000 0.0000  4 Ni 2.61, 4 Al 2.61
Al 0.2500 0.2500 0.2500  4 Pd 2.61, 4 Al 2.61

Properties
E in eV per formula unit: -19.94

---

Material: AlNiPd
Method: DFT, PBE-GGA
State: optimized geometry

Lattice parameters (Å, degrees): 4.0842 4.0842 4.0842 60.00 60.00 60.00
Closest atoms and distances in Å follow each position.
Element x y z (fractional)
Pd 0.2500 0.2500 0.2500  4 Al 2.50, 4 Ni 2.50
Ni 0.0000 0.0000 0.0000  4 Pd 2.50
Al 0.5000 0.5000 0.5000  4 Pd 2.50

Properties
E in eV per formula unit: -15.05

---

Material: Pr2Al2Ni3Pd
Method: DFT, PBE-GGA
State: optimized geometry

Lattice parameters (Å, degrees): 4.2385 4.2385 9.6228 90.00 90.00 120.00
Closest atoms and distances in Å follow each position.
Element x y z (fractional)
Ni 0.0000 0.0000 0.4493  3 Al 2.50, 3 Ni 2.63
Ni 0.6667 0.3333 0.5503  3 Al 2.49, 3 Ni 2.63
Ni 0.6667 0.3333 0.9419  3 Al 2.50, 3 Pd 2.71
Al 0.3333 0.6667 0.9931  3 Ni 2.50, 3 Pd 2.54
Al 0.3333 0.6667 0.5001  6 Ni 2.49-2.50
Pd 0.0000 0.0000 0.0632  3 Al 2.54, 3 Ni 2.71
Pr 0.0000 0.0000 0.7441  7 Ni 2.84-3.10, 1 Pd 3.07
Pr 0.6667 0.3333 0.2579  5 Ni 2.81-3.06, 3 Pd 3.08

Properties
E in eV per formula unit: -43.61

---

Material: AlNiPdPt
Method: DFT, PBE-GGA
State: optimized geometry

Lattice parameters (Å, degrees): 4.3088 4.3088 4.3088 60.00 60.00 60.00
Closest atoms and distances in Å follow each position.
Element x y z (fractional)
Al 0.0000 0.0000 0.0000  4 Ni 2.64, 4 Pt 2.64
Pd 0.5000 0.5000 0.5000  4 Pt 2.64, 4 Ni 2.64
Ni 0.7500 0.7500 0.7500  4 Al 2.64, 4 Pd 2.64
Pt 0.2500 0.2500 0.2500  4 Pd 2.64, 4 Al 2.64

Properties
Energy relative to the lowest polymorph listed for this composition in meV/atom: 0